Entry from the Alexandria database: a relaxed structure of KCu2H2S2O10 (GGA-PBEsol).

Cell: 5.577 5.577 7.719 Å, 115.20 115.20 67.89°
Element x y z (fractional)
K1 0.000 0.000 0.000
Cu1 0.000 0.500 0.500
Cu2 0.500 0.000 0.500
H1 0.218 0.218 0.707
H2 0.782 0.782 0.293
S1 0.423 0.423 0.208
S2 0.577 0.577 0.792
O1 0.173 0.173 0.559
O2 0.269 0.667 0.734
O3 0.312 0.312 0.989
O4 0.326 0.326 0.312
O5 0.333 0.731 0.266
O6 0.667 0.269 0.734
O7 0.674 0.674 0.688
O8 0.688 0.688 0.011
O9 0.731 0.333 0.266
O10 0.827 0.827 0.441

Calculated values
**VASP energy**: -5.76 eV/atom



Entry from the Alexandria database: a relaxed structure of TcIr2Ru (GGA-PBEsol).

Cell: 8.932 2.682 4.679 Å, 90.00 99.86 90.00°
Element x y z (fractional)
Tc1 0.000 0.000 0.000
Tc2 0.500 0.500 0.000
Ir1 0.001 0.500 0.506
Ir2 0.248 0.500 0.245
Ir3 0.501 0.000 0.506
Ir4 0.748 0.000 0.245
Ru1 0.250 0.000 0.749
Ru2 0.750 0.500 0.749

Calculated values
**Energy relative to the elements**: -0.37 eV per formula unit
**Offset from the most stable computed form**: 28 meV/atom



no.,V (Å³ per cell),DOS(E_F) (states/eV per cell)
1,191,2.904
2,110,6.851